# V2BSF | the Alexandria database | PBE with a Hubbard U | optimized geometry
data_V2BSF
_chemical_formula_sum 'V2 B1 S1 F1'
_cell_length_a 4.5357
_cell_length_b 4.5357
_cell_length_c 3.8296
_cell_angle_alpha 90.00
_cell_angle_beta 90.00
_cell_angle_gamma 90.00
_symmetry_space_group_name_H-M 'P 4/m m m'
_symmetry_Int_Tables_number 123
_symmetry_space_group_name_Hall '-P 4 2'
loop_
_atom_site_label
_atom_site_type_symbol
_atom_site_fract_x
_atom_site_fract_y
_atom_site_fract_z
V1 V 0.0000 0.5000 0.0000
B1 B 0.0000 0.0000 0.0000
S1 S 0.0000 0.0000 0.5000
F1 F 0.5000 0.5000 0.5000
# Density of states at the Fermi level ... 2.08 states/eV per cell
# Total energy ... -0.189 Ha/atom
# Total magnetic moment ... 6.15 μB per cell
# ρ ... 3.452 g/cm³